# MgTe3Ru

An optimized crystal structure of MgTe3Ru (PBE, Alexandria).

Lattice parameters (Å, degrees): 5.253 5.253 5.253 90.00 90.00 90.00
Space group Pm-3m (No. 221)
Asymmetric unit:
Mg 0.000 0.000 0.000 (multiplicity 1)
Te 0.000 0.000 0.500 (multiplicity 3)
Ru 0.500 0.500 0.500 (multiplicity 1)

Values from the calculation:
offset from the most stable computed form = 728 meV per atom
energy relative to the elements, uncorrected = 1.065 eV per atom

# Mg2TeRu

An optimized crystal structure of Mg2TeRu (PBE, Alexandria).

Lattice parameters (Å, degrees): 6.671 6.671 6.671 90.00 90.00 90.00
Space group F-43m (No. 216)
Asymmetric unit:
Mg 0.000 0.000 0.000 (multiplicity 4)
Mg 0.250 0.250 0.250 (multiplicity 4)
Te 0.250 0.250 0.750 (multiplicity 4)
Ru 0.000 0.000 0.500 (multiplicity 4)

Values from the calculation:
energy relative to the elements, uncorrected = 0.070 eV per atom

# Mg2TeRu

An optimized crystal structure of Mg2TeRu (PBE, Alexandria).

Lattice parameters (Å, degrees): 3.335 4.566 5.191 90.00 94.76 90.00
Space group P2/m (No. 10)
Asymmetric unit:
Mg 0.242 0.000 0.281 (multiplicity 2)
Te 0.500 0.500 0.000 (multiplicity 1)
Ru 0.000 0.500 0.500 (multiplicity 1)

Values from the calculation:
energy relative to the elements, uncorrected = 0.148 eV per atom

# Mg2TeRu

An optimized crystal structure of Mg2TeRu (PBE, Alexandria).

Lattice parameters (Å, degrees): 10.045 10.045 4.940 90.00 90.00 90.00
Space group I-42d (No. 122)
Asymmetric unit:
Mg 0.001 0.250 0.125 (multiplicity 8)
Te 0.000 0.000 0.500 (multiplicity 4)
Ru 0.000 0.000 0.000 (multiplicity 4)

Values from the calculation:
energy relative to the elements, uncorrected = 0.088 eV per atom

# MgTeRu

An optimized crystal structure of MgTeRu (PBE, Alexandria).

Lattice parameters (Å, degrees): 4.4634 4.4634 3.4195 90.00 90.00 120.00
Space group P-6m2 (No. 187)
Asymmetric unit:
Mg 0.0000 0.0000 0.0000 (multiplicity 1)
Te 0.3333 0.6667 0.5000 (multiplicity 1)
Ru 0.6667 0.3333 0.5000 (multiplicity 1)

Values from the calculation:
offset from the most stable computed form = 255 meV per atom
energy relative to the elements, uncorrected = 0.023 eV per atom

# MgTeRu

An optimized crystal structure of MgTeRu (PBE, Alexandria).

Lattice parameters (Å, degrees): 3.202 3.202 12.278 90.00 90.00 90.00
Space group I4mm (No. 107)
Asymmetric unit:
Mg 0.000 0.000 0.000 (multiplicity 2)
Te 0.000 0.000 0.740 (multiplicity 2)
Ru 0.000 0.000 0.360 (multiplicity 2)

Values from the calculation:
offset from the most stable computed form = 152 meV per atom
energy relative to the elements, uncorrected = -0.080 eV per atom

# Mg2TeRu

An optimized crystal structure of Mg2TeRu (PBE, Alexandria).

Lattice parameters (Å, degrees): 3.3350 3.3350 27.1688 90.00 90.00 120.00
Space group R3m (No. 160, hexagonal axes)
Asymmetric unit:
Mg 0.0000 0.0000 0.0000 (multiplicity 3)
Mg 0.0000 0.0000 0.2346 (multiplicity 3)
Te 0.0000 0.0000 0.4716 (multiplicity 3)
Ru 0.0000 0.0000 0.7405 (multiplicity 3)

Values from the calculation:
energy relative to the elements, uncorrected = 0.063 eV per atom

# Mg3TeRu

An optimized crystal structure of Mg3TeRu (PBE, Alexandria).

Lattice parameters (Å, degrees): 4.964 4.964 4.964 90.00 90.00 90.00
Space group Pm-3m (No. 221)
Asymmetric unit:
Mg 0.000 0.000 0.500 (multiplicity 3)
Te 0.500 0.500 0.500 (multiplicity 1)
Ru 0.000 0.000 0.000 (multiplicity 1)

Values from the calculation:
offset from the most stable computed form = 0 meV per atom
energy relative to the elements, uncorrected = 0.266 eV per atom

# MgTeRu2

An optimized crystal structure of MgTeRu2 (PBE, Alexandria).

Lattice parameters (Å, degrees): 3.031 3.031 8.028 90.00 90.00 90.00
Space group P4mm (No. 99)
Asymmetric unit:
Mg 0.000 0.000 0.000 (multiplicity 1)
Te 0.500 0.500 0.659 (multiplicity 1)
Ru 0.000 0.000 0.410 (multiplicity 1)
Ru 0.500 0.500 0.220 (multiplicity 1)

Values from the calculation:
offset from the most stable computed form = 232 meV per atom
energy relative to the elements, uncorrected = 0.179 eV per atom

# MgTeRu

An optimized crystal structure of MgTeRu (PBE, Alexandria).

Lattice parameters (Å, degrees): 3.4360 3.4360 6.3095 90.00 90.00 120.00
Space group P3m1 (No. 156)
Asymmetric unit:
Mg 0.0000 0.0000 0.0000 (multiplicity 1)
Te 0.3333 0.6667 0.5681 (multiplicity 1)
Ru 0.6667 0.3333 0.3084 (multiplicity 1)

Values from the calculation:
offset from the most stable computed form = 231 meV per atom
energy relative to the elements, uncorrected = -0.001 eV per atom

# MgTe4Ru

An optimized crystal structure of MgTe4Ru (PBE, Alexandria).

Lattice parameters (Å, degrees): 8.866 8.866 8.866 90.00 90.00 90.00
Space group F-43m (No. 216)
Asymmetric unit:
Mg 0.000 0.000 0.000 (multiplicity 4)
Te 0.125 0.125 0.375 (multiplicity 16)
Ru 0.250 0.250 0.750 (multiplicity 4)

Values from the calculation:
energy relative to the elements, uncorrected = 0.923 eV per atom

# MgTeRu2

An optimized crystal structure of MgTeRu2 (PBE, Alexandria).

Lattice parameters (Å, degrees): 4.432 4.432 3.249 90.00 90.00 90.00
Space group P4/mmm (No. 123)
Asymmetric unit:
Mg 0.000 0.000 0.000 (multiplicity 1)
Te 0.500 0.500 0.000 (multiplicity 1)
Ru 0.000 0.500 0.500 (multiplicity 2)

Values from the calculation:
offset from the most stable computed form = 50 meV per atom
energy relative to the elements, uncorrected = -0.003 eV per atom